(1)
This record from Alexandria describes crystalline CsTi3Zn at its relaxed geometry. The functional is GGA-PBEsol. Values from VASP.

Output
The formation energy is 1.99 eV per atom. The space group is Pm-3m, No. 221. The crystal system is cubic.

```
&SYSTEM
  ibrav = 0, nat = 5, ntyp = 3
/
ATOMIC_SPECIES
Cs 132.91 Cs.upf
Zn 65.41 Zn.upf
Ti 47.87 Ti.upf
ATOMIC_POSITIONS crystal
Cs 0.000 0.000 0.000
Zn 0.500 0.500 0.500
Ti 0.000 0.500 0.000
Ti 0.000 0.000 0.500
Ti 0.500 0.000 0.000
CELL_PARAMETERS angstrom
-4.220 -1.379 2.018
2.378 -1.388 4.024
-0.563 4.466 1.874
```

=====

(2)
This record from Alexandria describes crystalline RbGaSnSe4 at its relaxed geometry. The functional is GGA-PBEsol. Values from VASP.

Output
The space group is P2_1/c, No. 14. Its formation energy without anion corrections is -0.69 eV per atom. The crystal system is monoclinic.

```
&SYSTEM
  ibrav = 0, nat = 56, ntyp = 4
/
ATOMIC_SPECIES
Rb 85.47 Rb.upf
Ga 69.72 Ga.upf
Sn 118.71 Sn.upf
Se 78.96 Se.upf
ATOMIC_POSITIONS crystal
Rb 0.211 0.433 0.323
Rb 0.789 0.567 0.677
Rb 0.789 0.933 0.177
Rb 0.211 0.067 0.823
Rb 0.753 0.600 0.051
Rb 0.247 0.400 0.949
Rb 0.247 0.100 0.449
Rb 0.753 0.900 0.551
Ga 0.014 0.753 0.348
Ga 0.986 0.247 0.652
Ga 0.986 0.253 0.152
Ga 0.014 0.747 0.848
Ga 0.541 0.751 0.365
Ga 0.459 0.249 0.635
Ga 0.459 0.251 0.135
Ga 0.541 0.749 0.865
Sn 0.260 0.708 0.188
Sn 0.740 0.292 0.812
Sn 0.740 0.208 0.312
Sn 0.260 0.792 0.688
Sn 0.289 0.822 0.018
Sn 0.711 0.178 0.982
Sn 0.711 0.322 0.482
Sn 0.289 0.678 0.518
Se 0.049 0.168 0.274
Se 0.951 0.832 0.726
Se 0.951 0.668 0.226
Se 0.049 0.332 0.774
Se 0.278 0.861 0.353
Se 0.722 0.139 0.647
Se 0.722 0.361 0.147
Se 0.278 0.639 0.853
Se 0.250 0.630 0.056
Se 0.750 0.370 0.944
Se 0.750 0.130 0.444
Se 0.250 0.870 0.556
Se 0.525 0.622 0.267
Se 0.475 0.378 0.733
Se 0.475 0.122 0.233
Se 0.525 0.878 0.767
Se 0.019 0.608 0.433
Se 0.981 0.392 0.567
Se 0.981 0.108 0.067
Se 0.019 0.892 0.933
Se 0.295 0.899 0.149
Se 0.705 0.101 0.851
Se 0.705 0.399 0.351
Se 0.295 0.601 0.649
Se 0.221 0.377 0.138
Se 0.779 0.623 0.862
Se 0.779 0.877 0.362
Se 0.221 0.123 0.638
Se 0.601 0.649 0.479
Se 0.399 0.351 0.521
Se 0.399 0.149 0.021
Se 0.601 0.851 0.979
CELL_PARAMETERS angstrom
7.413 0.000 -0.141
0.000 12.795 0.000
-2.132 0.000 18.181
```